Computed, not measured: a relaxed structure of LaGa12Co4 at the PBE level of DFT.

abc: 7.8484 7.8484 7.8484
angles: 109.47 109.47 109.47
Last column: nearest neighbours and their distance in Å.
Atoms (fractional coordinates):
Ga: 0.7389 0.7395 0.4784  2 Co 2.27
Ga: 0.2611 0.2605 0.5216  2 Co 2.27
Ga: 0.0006 0.2611 0.7395  2 Co 2.27
Ga: 0.7389 0.2605 0.9994  2 Co 2.27
Ga: 0.2605 0.9994 0.7389  2 Co 2.27
Ga: 0.2611 0.7395 0.0006  2 Co 2.27
Ga: 0.4784 0.7389 0.7395  2 Co 2.27
Ga: 0.5216 0.2611 0.2605  2 Co 2.27
Ga: 0.7395 0.4784 0.7389  2 Co 2.27
Ga: 0.7395 0.0006 0.2611  2 Co 2.27
Ga: 0.2605 0.5216 0.2611  2 Co 2.27
Ga: 0.9994 0.7389 0.2605  2 Co 2.27
Co: 0.0000 0.0000 0.5000  6 Ga 2.27
Co: 0.5000 0.5000 0.5000  6 Ga 2.27
Co: 0.5000 0.0000 0.0000  6 Ga 2.27
Co: 0.0000 0.5000 0.0000  6 Ga 2.27
La: 0.0000 0.0000 0.0000  12 Ga 3.34

Computed properties:
density of states at the Fermi level: 10.48 states/eV/f.u.
energy relative to the elements: -0.201 eV per atom
raw total energy: -0.3160 Ry per atom
symmetry: No. 229